[1]
5
Lattice="3.574 0.000 0.000 0.000 3.574 0.000 1.787 1.787 10.125" Properties=species:S:1:pos:R:3 comment="Ba2GaNi2 GGA-PBE optimized geometry" magnetic_moment_mub_per_fu=0.49 pbc="T T T"
Ba 1.787 1.787 2.455
Ba 3.574 3.574 7.670
Ga 0.000 0.000 0.000
Ni 1.787 3.574 5.063
Ni 3.574 1.787 5.063

[2]
8
Lattice="-0.922 1.077 -7.058 0.520 -7.088 -1.150 -2.900 -3.254 -3.789" Properties=species:S:1:pos:R:3 comment="AsPt2Au GGA-PBE optimized geometry" magnetic_moment_mub_per_fu=0.00 pbc="T T T"
Pt -2.546 -7.443 -9.982
Pt -2.307 -4.951 -5.961
Pt -0.549 -5.070 -2.804
Pt -1.203 -1.065 -5.246
Au -2.012 -2.591 -7.476
Au 0.000 0.000 0.000
As -0.201 -3.005 -4.104
As -1.291 -6.674 -4.521

| no. | raw total energy (hartree per atom) |
| --- | --- |
| 1 | -0.1298 |
| 2 | -0.1852 |